The following is a PBE-GGA calculation of an optimized crystal structure of NpPS4, from the Alexandria database.

For the total magnetic moment, the calculation gives 0.6667 μB per atom. The space-group type is No. 82. The energy relative to the lowest polymorph listed for this composition is 0.000 eV/atom.

a = 5.731 Å, b = 5.731 Å, c = 5.731 Å
α = 111.50°, β = 111.50°, γ = 105.49°
Atoms (fractional coordinates):
Np  0.750  0.250  0.500
P  0.500  0.500  0.000
S  0.399  0.486  0.608
S  0.878  0.791  0.392
S  0.209  0.601  0.087
S  0.514  0.122  0.913

***

The following is a PBE-GGA calculation of an optimized crystal structure of NpPS, from the Alexandria database.

For the total magnetic moment, the calculation gives 1.0776 μB per atom. The space-group type is No. 12. The calculation puts the final energy at -8.330 eV per atom.

a = 4.418 Å, b = 4.418 Å, c = 6.813 Å
α = 83.65°, β = 83.65°, γ = 85.70°
Atoms (fractional coordinates):
Np  0.766  0.766  0.766
Np  0.234  0.234  0.234
P  0.318  0.682  0.500
P  0.682  0.318  0.500
S  0.238  0.762  0.000
S  0.762  0.238  0.000

***

The following is a PBE-GGA calculation of an optimized crystal structure of Np2PS, from the Alexandria database.

For the total magnetic moment, the calculation gives 2.0099 μB per atom. The space-group type is No. 166. The energy relative to the lowest polymorph listed for this composition is 0.000 eV/atom.

a = 3.956 Å, b = 3.956 Å, c = 6.799 Å
α = 73.08°, β = 73.08°, γ = 60.00°
Atoms (fractional coordinates):
Np  0.250  0.250  0.250
Np  0.750  0.750  0.750
P  0.000  0.000  0.000
S  0.500  0.500  0.500

***

The following is a PBE-GGA calculation of an optimized crystal structure of Np4PS3, from the Alexandria database.

For the total magnetic moment, the calculation gives 2.0139 μB per atom. The space-group type is No. 13. The calculation puts the final energy at -9.950 eV per atom.

a = 6.797 Å, b = 6.783 Å, c = 7.841 Å
α = 90.00°, β = 90.00°, γ = 109.44°
Atoms (fractional coordinates):
Np  0.000  0.250  0.625
Np  0.500  0.250  0.875
Np  0.500  0.250  0.375
Np  0.000  0.250  0.125
Np  0.000  0.750  0.875
Np  0.500  0.750  0.625
Np  0.500  0.750  0.125
Np  0.000  0.750  0.375
P  0.750  0.000  0.874
P  0.250  0.000  0.126
S  0.750  0.000  0.375
S  0.250  0.000  0.625
S  0.750  0.500  0.625
S  0.750  0.500  0.125
S  0.250  0.500  0.375
S  0.250  0.500  0.875

***

The following is a PBE-GGA calculation of an optimized crystal structure of Np3PS3, from the Alexandria database.

For the total magnetic moment, the calculation gives 1.6774 μB per atom. The space-group type is No. 221. The calculation puts the final energy at -9.269 eV per atom.

a = 5.515 Å, b = 5.515 Å, c = 5.515 Å
α = 90.00°, β = 90.00°, γ = 90.00°
Atoms (fractional coordinates):
Np  0.500  0.000  0.500
Np  0.500  0.500  0.000
Np  0.000  0.500  0.500
P  0.500  0.500  0.500
S  0.000  0.500  0.000
S  0.000  0.000  0.500
S  0.500  0.000  0.000

***

The following is a PBE-GGA calculation of an optimized crystal structure of NpPS2, from the Alexandria database.

For the total magnetic moment, the calculation gives 1.1030 μB per atom. The space-group type is No. 166. The calculation puts the final energy at -6.528 eV per atom.

a = 3.395 Å, b = 3.395 Å, c = 8.455 Å
α = 78.42°, β = 78.42°, γ = 60.00°
Atoms (fractional coordinates):
Np  0.000  0.000  0.000
P  0.500  0.500  0.500
S  0.110  0.110  0.670
S  0.890  0.890  0.330